(i)
This record from the Alexandria database describes a relaxed MgFe7Ni6O16 crystal. The functional is PBE+U.

SG: P1 (1)

Unit cell a=6.0322 b=6.0135 c=10.3891 alpha=90.38 beta=105.92 gamma=119.79
Each line ends with the local moment (μB).
Positions (direct):
1 Mg 0.4000 0.4532 0.3407  0.00
2 Fe 0.4018 0.7127 0.0801  -1.95
3 Fe 0.8636 0.9420 0.8374  4.28
4 Fe 0.9018 0.9574 0.3275  4.31
5 Fe 0.3055 0.1744 0.0822  -1.87
6 Fe 0.8204 0.4161 0.1564  -4.21
7 Fe 0.3743 0.9491 0.8330  4.31
8 Fe 0.8711 0.4467 0.8398  3.75
9 Ni 0.4002 0.9612 0.3381  1.73
10 Ni 0.8819 0.6918 0.5754  -1.72
11 Ni 0.3659 0.6921 0.5714  1.80
12 Ni 0.8819 0.2067 0.5734  1.78
13 Ni 0.3825 0.1994 0.5837  -1.71
14 Ni 0.3699 0.4439 0.8291  1.74
15 O 0.6352 0.5747 0.2071  -0.05
16 O 0.6469 0.8295 0.4570  0.10
17 O 0.1403 0.8430 0.4619  0.06
18 O 0.6293 0.3213 0.4712  -0.01
19 O 0.1930 0.6029 0.2127  -0.10
20 O 0.6572 0.0801 0.2145  -0.04
21 O 0.1448 0.3153 0.4647  0.10
22 O 0.1606 0.0860 0.2313  0.15
23 O 0.1281 0.8374 0.9487  0.21
24 O 0.1327 0.5811 0.7035  0.15
25 O 0.5920 0.8100 0.9357  0.26
26 O 0.1105 0.3114 0.9415  0.13
27 O 0.6372 0.5826 0.7120  0.12
28 O 0.1250 0.0652 0.7124  0.13
29 O 0.6224 0.0586 0.7100  0.19
30 O 0.5989 0.3021 0.9602  0.05

---

(ii)
This record from the Alexandria database describes a relaxed MgFe7Ni6O16 crystal. The functional is PBE+U.

SG: C2/m (12)

Unit cell a=6.0791 b=6.0791 c=10.4768 alpha=73.92 beta=73.92 gamma=59.59
Each line ends with the local moment (μB).
Positions (direct):
1 Mg 0.5000 0.5000 0.5000  0.01
2 Fe 0.0000 0.0000 0.5000  3.82
3 Fe 0.2487 0.2487 0.7365  3.80
4 Fe 0.2523 0.7504 0.2490  4.31
5 Fe 0.7504 0.2523 0.2490  4.31
6 Fe 0.7513 0.7513 0.2635  3.80
7 Fe 0.2496 0.7477 0.7510  4.31
8 Fe 0.7477 0.2496 0.7510  4.31
9 Ni 0.2511 0.2511 0.2631  1.79
10 Ni 0.0000 0.0000 0.0000  1.78
11 Ni 0.0000 0.5000 0.0000  1.79
12 Ni 0.5000 0.0000 0.0000  1.79
13 Ni 0.5000 0.5000 0.0000  1.77
14 Ni 0.7489 0.7489 0.7369  1.79
15 O 0.9019 0.9019 0.3488  0.30
16 O 0.1282 0.1282 0.1207  0.22
17 O 0.1307 0.6275 0.1224  0.21
18 O 0.6275 0.1307 0.1224  0.21
19 O 0.8679 0.3698 0.3654  0.21
20 O 0.3698 0.8679 0.3654  0.21
21 O 0.6257 0.6257 0.1188  0.22
22 O 0.3978 0.3978 0.3525  0.29
23 O 0.0981 0.0981 0.6512  0.30
24 O 0.8718 0.8718 0.8793  0.22
25 O 0.1321 0.6302 0.6346  0.21
26 O 0.6302 0.1321 0.6346  0.21
27 O 0.8693 0.3725 0.8776  0.21
28 O 0.3725 0.8693 0.8776  0.21
29 O 0.3743 0.3743 0.8812  0.22
30 O 0.6022 0.6022 0.6475  0.29

---

Which structure is the most stable? The one labeled (ii).

---

(i)
This record from the Alexandria database describes a relaxed MgFe7Ni6O16 crystal. The functional is PBE+U.

SG: Cm (8)

Unit cell a=6.0183 b=6.0183 c=10.3126 alpha=74.55 beta=74.55 gamma=60.00
Each line ends with the local moment (μB).
Positions (direct):
1 Mg 0.4542 0.4542 0.7124  0.00
2 Fe 0.7037 0.7037 0.9396  0.04
3 Fe 0.9519 0.9519 0.1761  3.76
4 Fe 0.9575 0.4601 0.6892  1.19
5 Fe 0.4601 0.9575 0.6892  1.19
6 Fe 0.1999 0.1999 0.9414  3.79
7 Fe 0.9478 0.4504 0.1953  4.32
8 Fe 0.4504 0.9478 0.1953  4.32
9 Ni 0.9552 0.9552 0.7080  1.79
10 Ni 0.7007 0.7007 0.4465  1.77
11 Ni 0.6994 0.2006 0.4473  1.77
12 Ni 0.2006 0.6994 0.4473  1.77
13 Ni 0.1992 0.1992 0.4483  1.76
14 Ni 0.4498 0.4498 0.1820  1.80
15 O 0.6088 0.6088 0.7897  -0.07
16 O 0.8269 0.8269 0.5685  0.08
17 O 0.8302 0.3328 0.5715  0.11
18 O 0.3328 0.8302 0.5715  0.11
19 O 0.5775 0.0701 0.8023  0.03
20 O 0.0701 0.5775 0.8023  0.03
21 O 0.3275 0.3275 0.5710  0.06
22 O 0.1078 0.1078 0.7886  0.00
23 O 0.8037 0.8037 0.0892  0.27
24 O 0.5722 0.5722 0.3253  0.22
25 O 0.8206 0.3428 0.0782  0.21
26 O 0.3428 0.8206 0.0782  0.21
27 O 0.5656 0.0738 0.3244  0.20
28 O 0.0738 0.5656 0.3244  0.20
29 O 0.0702 0.0702 0.3243  0.21
30 O 0.3016 0.3016 0.0916  0.30

---

(ii)
This record from the Alexandria database describes a relaxed MgFe7Ni6O16 crystal. The functional is PBE+U.

SG: Cm (8)

Unit cell a=6.0071 b=6.0071 c=10.6356 alpha=73.88 beta=73.88 gamma=59.84
Each line ends with the local moment (μB).
Positions (direct):
1 Mg 0.0746 0.0746 0.7820  0.01
2 Fe 0.3152 0.3152 0.0523  3.81
3 Fe 0.9820 0.9820 0.0317  3.77
4 Fe 0.5662 0.0639 0.3175  4.37
5 Fe 0.0639 0.5662 0.3175  4.37
6 Fe 0.6249 0.6249 0.1339  4.34
7 Fe 0.5729 0.0375 0.8165  4.11
8 Fe 0.0375 0.5729 0.8165  4.11
9 Ni 0.0649 0.0649 0.3153  1.80
10 Ni 0.3211 0.3211 0.5577  1.79
11 Ni 0.8013 0.3210 0.5547  1.80
12 Ni 0.3210 0.8013 0.5547  1.80
13 Ni 0.8132 0.8132 0.5613  1.75
14 Ni 0.5603 0.5603 0.8115  1.78
15 O 0.4276 0.4276 0.2000  0.29
16 O 0.1931 0.1931 0.4346  0.23
17 O 0.6885 0.1713 0.4420  0.24
18 O 0.1713 0.6885 0.4420  0.24
19 O 0.9567 0.4361 0.1947  0.27
20 O 0.4361 0.9567 0.1947  0.27
21 O 0.6952 0.6952 0.4378  0.26
22 O 0.9282 0.9282 0.2212  0.24
23 O 0.1913 0.1913 0.9141  0.18
24 O 0.4414 0.4414 0.6796  0.20
25 O 0.6932 0.1872 0.9152  0.16
26 O 0.1872 0.6932 0.9152  0.16
27 O 0.9378 0.4448 0.6817  0.16
28 O 0.4448 0.9378 0.6817  0.16
29 O 0.9427 0.9427 0.6774  0.18
30 O 0.6811 0.6811 0.9388  0.28

---

Which structure is the most stable? The one labeled (ii).

---

(i)
This record from the Alexandria database describes a relaxed Mg2Fe2O5 crystal. The functional is PBE+U.

SG: Pbam (55)

Unit cell a=3.2832 b=7.4970 c=10.3910 alpha=90.00 beta=90.00 gamma=90.00
Each line ends with the local moment (μB).
Positions (direct):
1 Mg 0.5000 0.9062 0.8736  0.01
2 Mg 0.5000 0.0938 0.1264  0.01
3 Mg 0.5000 0.4062 0.6264  0.01
4 Mg 0.5000 0.5938 0.3736  0.01
5 Fe 0.0000 0.8060 0.6068  4.30
6 Fe 0.0000 0.1940 0.3932  4.30
7 Fe 0.0000 0.6940 0.1068  4.30
8 Fe 0.0000 0.3060 0.8932  4.30
9 O 0.0000 0.0000 0.5000  0.37
10 O 0.0000 0.6395 0.2819  0.16
11 O 0.0000 0.1395 0.2181  0.16
12 O 0.0000 0.8605 0.7819  0.16
13 O 0.5000 0.8340 0.0636  0.17
14 O 0.5000 0.1660 0.9364  0.17
15 O 0.0000 0.3605 0.7181  0.16
16 O 0.5000 0.6660 0.5636  0.17
17 O 0.0000 0.5000 0.0000  0.37
18 O 0.5000 0.3340 0.4364  0.17

---

(ii)
This record from the Alexandria database describes a relaxed Mg2Fe2O5 crystal. The functional is PBE+U.

SG: Ima2 (46)

Unit cell a=7.8973 b=7.8973 c=7.8973 alpha=140.92 beta=140.21 gamma=57.00
Each line ends with the local moment (μB).
Positions (direct):
1 Mg 0.3486 0.8770 0.4628  0.01
2 Mg 0.5858 0.1230 0.4716  0.01
3 Mg 0.8486 0.3858 0.4716  0.01
4 Mg 0.0858 0.6142 0.4628  0.01
5 Fe 0.0089 0.0000 0.0089  4.37
6 Fe 0.5089 0.5000 0.0089  4.37
7 Fe 0.6994 0.7272 0.9267  4.29
8 Fe 0.1994 0.2728 0.9722  4.29
9 O 0.3008 0.3149 0.5200  0.19
10 O 0.2051 0.6851 0.9859  0.19
11 O 0.8008 0.2808 0.9859  0.19
12 O 0.7051 0.7192 0.5200  0.19
13 O 0.9457 0.0028 0.2309  0.23
14 O 0.2281 0.9972 0.9428  0.23
15 O 0.4457 0.2147 0.9428  0.23
16 O 0.7281 0.7853 0.2309  0.23
17 O 0.3415 0.6165 0.4580  0.19
18 O 0.8415 0.3835 0.7250  0.19

---

Which structure is the most stable? The one labeled (ii).

---

(i)
This record from the Alexandria database describes a relaxed Mg4FeO5 crystal. The functional is PBE+U.

SG: R-3m (166)

Unit cell a=3.0319 b=3.0319 c=12.4643 alpha=83.01 beta=83.01 gamma=60.00
Each line ends with the local moment (μB).
Positions (direct):
1 Mg 0.5993 0.5993 0.2021  0.00
2 Mg 0.4007 0.4007 0.7979  0.00
3 Mg 0.1998 0.1998 0.4007  0.00
4 Mg 0.8002 0.8002 0.5993  0.00
5 Fe 0.0000 0.0000 0.0000  3.75
6 O 0.5000 0.5000 0.5000  0.00
7 O 0.7016 0.7016 0.8952  0.09
8 O 0.2984 0.2984 0.1048  0.09
9 O 0.1005 0.1005 0.6986  0.00
10 O 0.8995 0.8995 0.3014  0.00

---

(ii)
This record from the Alexandria database describes a relaxed Mg4FeO5 crystal. The functional is PBE+U.

SG: I4/m (87)

Unit cell a=4.2609 b=5.2442 c=5.2442 alpha=80.50 beta=66.03 gamma=66.03
Each line ends with the local moment (μB).
Positions (direct):
1 Mg 0.4002 0.4004 0.8013  0.00
2 Mg 0.8006 0.8013 0.5996  0.00
3 Mg 0.2015 0.1987 0.4004  0.00
4 Mg 0.6019 0.5996 0.1987  0.00
5 Fe 0.0010 0.0000 0.0000  3.77
6 O 0.8976 0.4087 0.7982  0.03
7 O 0.3063 0.7982 0.5913  0.03
8 O 0.6957 0.2018 0.4087  0.03
9 O 0.1045 0.5913 0.2018  0.03
10 O 0.5010 0.0000 0.0000  0.09

---

Which structure is the most stable? The one labeled (i).

---

(i)
This record from the Alexandria database describes a relaxed MgFe3O crystal. The functional is PBE+U.

SG: Pm-3m (221)

Unit cell a=4.1549 b=4.1549 c=4.1549 alpha=90.00 beta=90.00 gamma=90.00
Each line ends with the local moment (μB).
Positions (direct):
1 Mg 0.5000 0.5000 0.5000  -0.03
2 Fe 0.0000 0.5000 0.0000  3.55
3 Fe 0.0000 0.0000 0.5000  3.51
4 Fe 0.5000 0.0000 0.0000  3.58
5 O 0.0000 0.0000 0.0000  0.14

---

(ii)
This record from the Alexandria database describes a relaxed MgFe3O crystal. The functional is PBE+U.

SG: Pm-3m (221)

Unit cell a=4.6415 b=4.6415 c=4.6415 alpha=90.00 beta=90.00 gamma=90.00
Each line ends with the local moment (μB).
Positions (direct):
1 Mg 0.0000 0.0000 0.0000  -0.03
2 Fe 0.0000 0.5000 0.0000  3.02
3 Fe 0.0000 0.0000 0.5000  2.97
4 Fe 0.5000 0.0000 0.0000  3.11
5 O 0.5000 0.5000 0.5000  -0.25

---

Which structure is the most stable? The one labeled (i).

---

(i)
This record from the Alexandria database describes a relaxed MgFe2O crystal. The functional is PBE+U.

SG: I-42d (122)

Unit cell a=7.3052 b=7.3052 c=5.6268 alpha=49.52 beta=49.52 gamma=90.00
Each line ends with the local moment (μB).
Positions (direct):
1 Mg 0.0000 0.0000 0.0000  -0.03
2 Mg 0.7500 0.2500 0.5000  -0.03
3 Fe 0.5212 0.1250 0.2500  3.57
4 Fe 0.2288 0.6250 0.2500  3.59
5 Fe 0.3750 0.4788 0.7500  3.57
6 Fe 0.8750 0.7712 0.7500  3.59
7 O 0.5000 0.5000 0.0000  0.10
8 O 0.2500 0.7500 0.5000  0.10

---

(ii)
This record from the Alexandria database describes a relaxed MgFe2O crystal. The functional is PBE+U.

SG: Fm-3m (225)

Unit cell a=4.2985 b=4.2985 c=4.2985 alpha=60.00 beta=60.00 gamma=60.00
Each line ends with the local moment (μB).
Positions (direct):
1 Mg 0.5000 0.5000 0.5000  -0.04
2 Fe 0.2500 0.2500 0.2500  3.03
3 Fe 0.7500 0.7500 0.7500  3.03
4 O 0.0000 0.0000 0.0000  -0.17

---

Which structure is the most stable? The one labeled (i).

---

(i)
This record from the Alexandria database describes a relaxed MgFeP2O crystal. The functional is PBE+U.

SG: P4/mmm (123)

Unit cell a=4.8489 b=4.8489 c=3.5602 alpha=90.00 beta=90.00 gamma=90.00
Each line ends with the local moment (μB).
Positions (direct):
1 P 0.0000 0.5000 0.0000  -0.14
2 P 0.5000 0.0000 0.0000  -0.14
3 Mg 0.5000 0.5000 0.5000  0.00
4 Fe 0.0000 0.0000 0.0000  3.39
5 O 0.0000 0.0000 0.5000  0.06

---

(ii)
This record from the Alexandria database describes a relaxed MgFeP2O crystal. The functional is PBE+U.

SG: P4/mmm (123)

Unit cell a=5.0798 b=5.0798 c=3.5401 alpha=90.00 beta=90.00 gamma=90.00
Each line ends with the local moment (μB).
Positions (direct):
1 P 0.0000 0.5000 0.0000  -0.02
2 P 0.5000 0.0000 0.0000  -0.02
3 Mg 0.0000 0.0000 0.0000  0.00
4 Fe 0.5000 0.5000 0.5000  3.56
5 O 0.0000 0.0000 0.5000  0.00

---

Which structure is the most stable? The one labeled (i).

---

(i)
This record from the Alexandria database describes a relaxed MgVFeP4O14 crystal. The functional is PBE+U.

SG: P1 (1)

Unit cell a=4.9665 b=6.9264 c=8.3730 alpha=89.67 beta=88.37 gamma=71.11
Each line ends with the local moment (μB).
Positions (direct):
1 Mg 0.1930 0.3116 0.3656  0.00
2 V 0.7725 0.7453 0.5046  1.92
3 Fe 0.1954 0.2795 0.9789  4.39
4 P 0.6121 0.5256 0.1793  0.01
5 P 0.7770 0.0958 0.7764  0.02
6 P 0.2262 0.9257 0.2776  0.01
7 P 0.3759 0.4924 0.6802  0.01
8 O 0.9941 0.8445 0.3367  0.00
9 O 0.8556 0.9008 0.6773  0.00
10 O 0.8156 0.4746 0.0375  0.07
11 O 0.7683 0.5135 0.3402  0.00
12 O 0.5180 0.6514 0.6461  0.00
13 O 0.3992 0.9793 0.4126  0.00
14 O 0.4334 0.7640 0.1563  0.00
15 O 0.6072 0.2688 0.6479  0.01
16 O 0.5818 0.1006 0.9212  0.09
17 O 0.4011 0.4050 0.1902  0.03
18 O 0.2572 0.5010 0.8497  0.08
19 O 0.1518 0.4965 0.5524  0.00
20 O 0.1164 0.1264 0.1826  0.04
21 O 0.0454 0.1439 0.8179  0.10

---

(ii)
This record from the Alexandria database describes a relaxed MgVFeP4O14 crystal. The functional is PBE+U.

SG: P1 (1)

Unit cell a=5.0072 b=6.8577 c=8.2106 alpha=93.74 beta=92.89 gamma=105.95
Each line ends with the local moment (μB).
Positions (direct):
1 Mg 0.7012 0.2052 0.8716  0.00
2 V 0.5015 0.2717 0.4894  1.91
3 Fe 0.4472 0.6914 0.0393  4.37
4 P 0.8625 0.4657 0.1846  0.01
5 P 0.1654 0.9508 0.7848  0.00
6 P 0.8946 0.0617 0.2751  0.01
7 P 0.1176 0.5212 0.6816  0.01
8 O 0.2044 0.1051 0.3198  0.00
9 O 0.3606 0.1186 0.6972  0.01
10 O 0.6813 0.4798 0.0277  0.06
11 O 0.7237 0.4788 0.3416  0.01
12 O 0.8137 0.3870 0.6765  0.00
13 O 0.7283 0.0879 0.4205  0.00
14 O 0.8675 0.2292 0.1413  0.01
15 O 0.0983 0.7486 0.6624  0.00
16 O 0.3522 0.9269 0.9366  0.07
17 O 0.1629 0.5998 0.1883  0.11
18 O 0.2458 0.5131 0.8535  0.08
19 O 0.2834 0.4701 0.5445  0.00
20 O 0.7669 0.8618 0.1712  0.08
21 O 0.8961 0.9922 0.8256  0.01

---

(iii)
This record from the Alexandria database describes a relaxed MgVFeP4O14 crystal. The functional is PBE+U.

SG: P1 (1)

Unit cell a=5.0369 b=7.1159 c=8.2308 alpha=89.85 beta=92.67 gamma=106.49
Each line ends with the local moment (μB).
Positions (direct):
1 Mg 0.2731 0.0588 0.8557  0.00
2 V 0.2140 0.7217 0.4826  1.05
3 Fe 0.8139 0.2944 0.0158  3.78
4 P 0.3697 0.4968 0.7988  0.01
5 P 0.2534 0.1101 0.2366  0.01
6 P 0.7781 0.8733 0.7211  0.01
7 P 0.6048 0.5057 0.3024  0.01
8 O 0.0703 0.8524 0.6823  -0.01
9 O 0.1961 0.9324 0.3522  -0.03
10 O 0.1593 0.4904 0.9228  0.01
11 O 0.2574 0.5207 0.6234  -0.03
12 O 0.3731 0.6075 0.3146  0.00
13 O 0.5903 0.8873 0.5755  0.00
14 O 0.6267 0.6921 0.8308  0.00
15 O 0.4653 0.2770 0.3486  0.00
16 O 0.4046 0.0744 0.0856  0.01
17 O 0.4984 0.3245 0.8057  0.01
18 O 0.7089 0.5139 0.1339  0.02
19 O 0.8300 0.5772 0.4393  0.00
20 O 0.8536 0.0514 0.8379  0.01
21 O 0.9927 0.1656 0.1929  0.02

---

Which structure is the most stable? The one labeled (i).